# 1
Compound: ThAl3Au
Source: Alexandria
Functional: PBE-GGA
Structure: relaxed

Unit cell a=4.3696 b=8.4964 c=11.0247 alpha=90.00 beta=90.00 gamma=90.00
With the nearest neighbours (Å) after each atom.
Element x y z (fractional)
1 Al 0.2500 0.3880 0.6957  2 Au 2.52-2.56
2 Al 0.2500 0.8754 0.2079  4 Al 2.74-2.97, 2 Au 2.76
3 Al 0.7500 0.9228 0.5986  3 Au 2.65-2.67, 2 Al 2.74-2.81
4 Al 0.2500 0.5772 0.0986  3 Au 2.65-2.67, 2 Al 2.74-2.81
5 Al 0.7500 0.4228 0.9014  3 Au 2.65-2.67, 2 Al 2.74-2.81
6 Al 0.2500 0.0772 0.4014  3 Au 2.65-2.67, 2 Al 2.74-2.81
7 Al 0.7500 0.6120 0.3043  2 Au 2.52-2.56
8 Al 0.2500 0.8880 0.8043  2 Au 2.52-2.56
9 Al 0.7500 0.6246 0.7079  4 Al 2.74-2.97, 2 Au 2.76
10 Al 0.7500 0.1120 0.1957  2 Au 2.52-2.56
11 Al 0.7500 0.1246 0.7921  4 Al 2.74-2.97, 2 Au 2.76
12 Al 0.2500 0.3754 0.2921  4 Al 2.74-2.97, 2 Au 2.76
13 Th 0.2500 0.6815 0.5078  7 Al 3.14-3.24, 2 Au 3.32
14 Th 0.7500 0.8185 0.0078  7 Al 3.14-3.24, 2 Au 3.32
15 Th 0.7500 0.3185 0.4922  7 Al 3.14-3.24, 2 Au 3.32
16 Th 0.2500 0.1815 0.9922  7 Al 3.14-3.24, 2 Au 3.32
17 Au 0.2500 0.5954 0.8590  7 Al 2.52-2.76
18 Au 0.2500 0.0954 0.6410  7 Al 2.52-2.76
19 Au 0.7500 0.4046 0.1410  7 Al 2.52-2.76
20 Au 0.7500 0.9046 0.3590  7 Al 2.52-2.76

Calculated values
For the energy relative to the lowest polymorph listed for this composition, the calculation gives 0.116 eV per atom. As for the energy relative to the elements: -449 meV/atom.


# 2
Compound: ErTiAlIr2
Source: Alexandria
Functional: PBE-GGA
Structure: relaxed

Unit cell a=4.0017 b=4.0017 c=6.4215 alpha=108.15 beta=108.15 gamma=90.00
With the nearest neighbours (Å) after each atom.
Element x y z (fractional)
1 Ir 0.6139 0.6139 0.2277  2 Al 2.54, 2 Ti 2.54, 1 Ir 2.63
2 Ir 0.3861 0.3861 0.7723  2 Al 2.54, 2 Ti 2.54, 1 Ir 2.63
3 Er 0.0000 0.0000 0.0000  8 Ir 3.12
4 Al 0.7500 0.2500 0.5000  4 Ir 2.54, 4 Ti 2.83
5 Ti 0.2500 0.7500 0.5000  4 Ir 2.54, 4 Al 2.83

Calculated values
As for the energy relative to the elements: -893 meV/atom.


# 3
Compound: Zn3IrOs
Source: Alexandria
Functional: PBE-GGA
Structure: relaxed

Unit cell a=4.6725 b=4.6725 c=4.6725 alpha=90.00 beta=90.00 gamma=90.00
With the nearest neighbours (Å) after each atom.
Element x y z (fractional)
1 Zn 0.0000 0.0000 0.5000  2 Ir 2.34
2 Zn 0.5000 0.0000 0.0000  2 Ir 2.34
3 Zn 0.0000 0.5000 0.0000  2 Ir 2.34
4 Ir 0.0000 0.0000 0.0000  6 Zn 2.34
5 Os 0.5000 0.5000 0.5000  12 Zn 3.30

Calculated values
For the energy relative to the lowest polymorph listed for this composition, the calculation gives 0.000 eV per atom. As for the energy relative to the elements: 1306 meV/atom.


# 4
Compound: Ba2LiCa
Source: Alexandria
Functional: PBE-GGA
Structure: relaxed

Unit cell a=10.0066 b=10.0066 c=8.0315 alpha=51.47 beta=51.47 gamma=90.00
With the nearest neighbours (Å) after each atom.
Element x y z (fractional)
1 Ca 0.7500 0.2500 0.5000  2 Li 3.80, 4 Ba 3.93
2 Ca 0.0000 0.0000 0.0000  2 Li 3.80, 4 Ba 3.93
3 Li 0.5000 0.5000 0.0000  4 Ba 3.42, 2 Ca 3.80
4 Li 0.2500 0.7500 0.5000  4 Ba 3.42, 2 Ca 3.80
5 Ba 0.1626 0.6250 0.2500  2 Li 3.42
6 Ba 0.8750 0.8374 0.7500  2 Li 3.42
7 Ba 0.5874 0.1250 0.2500  2 Li 3.42
8 Ba 0.3750 0.4126 0.7500  2 Li 3.42

Calculated values
For the energy relative to the lowest polymorph listed for this composition, the calculation gives 0.172 eV per atom. As for the energy relative to the elements: 203 meV/atom.


# 5
Compound: BeP2Br
Source: Alexandria
Functional: PBE-GGA
Structure: relaxed

Unit cell a=3.3342 b=3.8525 c=7.6764 alpha=98.27 beta=90.00 gamma=90.00
With the nearest neighbours (Å) after each atom.
Element x y z (fractional)
1 Be 0.0000 0.5825 0.4372  2 Br 2.20, 2 P 2.22-2.26
2 P 0.5000 0.2339 0.1507  2 P 2.17
3 P 0.0000 0.0337 0.2867  2 P 2.17, 2 Be 2.22-2.26
4 Br 0.5000 0.6499 0.6254  2 Be 2.20

Calculated values
For the energy relative to the lowest polymorph listed for this composition, the calculation gives 0.000 eV per atom. For the raw formation energy, the calculation gives -0.23 eV/atom.


# 6
Compound: InMo3Br
Source: Alexandria
Functional: PBE-GGA
Structure: relaxed

Unit cell a=4.6320 b=4.6320 c=4.6320 alpha=90.00 beta=90.00 gamma=90.00
With the nearest neighbours (Å) after each atom.
Element x y z (fractional)
1 Mo 0.5000 0.0000 0.0000  2 Br 2.32
2 Mo 0.0000 0.0000 0.5000  2 Br 2.32
3 Mo 0.0000 0.5000 0.0000  2 Br 2.32
4 Br 0.0000 0.0000 0.0000  6 Mo 2.32
5 In 0.5000 0.5000 0.5000  12 Mo 3.28

Calculated values
For the energy relative to the lowest polymorph listed for this composition, the calculation gives 0.000 eV per atom. For the raw formation energy, the calculation gives 1.38 eV/atom.